Entry i
Density functional theory data (PBE-GGA) for an optimized crystal structure of Pm4Dy5Al. Values from VASP.

The structure in Quantum ESPRESSO input format:
```
&SYSTEM
  ibrav = 0, nat = 10, ntyp = 3
/
ATOMIC_SPECIES
Pm 145.00 Pm.upf
Dy 162.50 Dy.upf
Al 26.98 Al.upf
CELL_PARAMETERS angstrom
5.715 0.000 0.000
2.858 7.553 0.000
2.858 0.000 7.553
ATOMIC_POSITIONS crystal
Pm 0.457 0.311 0.689
Pm 0.768 0.689 0.689
Pm 0.146 0.311 0.311
Pm 0.457 0.689 0.311
Dy 0.782 0.364 0.000
Dy 0.146 0.000 0.636
Dy 0.782 0.000 0.364
Dy 0.146 0.636 0.000
Dy 0.655 0.000 0.000
Al 0.171 0.000 0.000
```



Entry ii
Density functional theory data (PBE-GGA) for an optimized crystal structure of Pm4Dy5Al. Values from VASP.

The structure in Quantum ESPRESSO input format:
```
&SYSTEM
  ibrav = 0, nat = 10, ntyp = 3
/
ATOMIC_SPECIES
Pm 145.00 Pm.upf
Dy 162.50 Dy.upf
Al 26.98 Al.upf
CELL_PARAMETERS angstrom
3.584 0.000 0.000
0.000 3.584 0.000
0.000 0.000 24.221
ATOMIC_POSITIONS crystal
Pm 0.000 0.000 0.184
Pm 0.000 0.000 0.395
Pm 0.000 0.000 0.605
Pm 0.000 0.000 0.816
Dy 0.500 0.500 0.076
Dy 0.500 0.500 0.289
Dy 0.500 0.500 0.500
Dy 0.500 0.500 0.711
Dy 0.500 0.500 0.924
Al 0.000 0.000 0.000
```



entry ii takes first place; second place is 147 meV per atom up.



Entry i
Density functional theory data (PBE-GGA) for an optimized crystal structure of PmDyAl. Values from VASP.

The structure in Quantum ESPRESSO input format:
```
&SYSTEM
  ibrav = 0, nat = 6, ntyp = 3
/
ATOMIC_SPECIES
Pm 145.00 Pm.upf
Al 26.98 Al.upf
Dy 162.50 Dy.upf
CELL_PARAMETERS angstrom
-2.455 -2.730 0.721
4.496 -3.740 1.147
-0.172 2.382 8.436
ATOMIC_POSITIONS crystal
Pm 0.000 0.369 0.250
Pm 0.000 0.631 0.750
Al 0.000 0.000 0.000
Al 0.000 0.000 0.500
Dy 0.500 0.874 0.250
Dy 0.500 0.126 0.750
```



Entry ii
Density functional theory data (PBE-GGA) for an optimized crystal structure of PmDyAl. Values from VASP.

The structure in Quantum ESPRESSO input format:
```
&SYSTEM
  ibrav = 0, nat = 3, ntyp = 3
/
ATOMIC_SPECIES
Pm 145.00 Pm.upf
Dy 162.50 Dy.upf
Al 26.98 Al.upf
CELL_PARAMETERS angstrom
-5.816 -0.942 -5.744
7.652 -0.271 3.012
-1.068 -2.201 2.512
ATOMIC_POSITIONS crystal
Pm 0.335 0.026 0.361
Dy 0.922 0.233 0.155
Al 0.458 0.465 0.923
```



entry ii takes first place; second place is 171 meV per atom up.



Entry i
Density functional theory data (PBE-GGA) for an optimized crystal structure of PmDy4Al. Values from VASP.

The structure in Quantum ESPRESSO input format:
```
&SYSTEM
  ibrav = 0, nat = 6, ntyp = 3
/
ATOMIC_SPECIES
Pm 145.00 Pm.upf
Dy 162.50 Dy.upf
Al 26.98 Al.upf
CELL_PARAMETERS angstrom
3.496 0.000 0.000
1.748 5.439 0.096
1.748 0.619 9.714
ATOMIC_POSITIONS crystal
Pm 0.500 0.500 0.500
Dy 0.638 0.582 0.141
Dy 0.362 0.418 0.859
Dy 0.161 0.005 0.673
Dy 0.839 0.995 0.327
Al 0.000 0.000 0.000
```



Entry ii
Density functional theory data (PBE-GGA) for an optimized crystal structure of PmDy4Al. Values from VASP.

The structure in Quantum ESPRESSO input format:
```
&SYSTEM
  ibrav = 0, nat = 6, ntyp = 3
/
ATOMIC_SPECIES
Pm 145.00 Pm.upf
Dy 162.50 Dy.upf
Al 26.98 Al.upf
CELL_PARAMETERS angstrom
-2.398 -2.627 -0.096
2.335 -2.069 -1.711
4.743 -4.779 12.249
ATOMIC_POSITIONS crystal
Pm 0.000 0.000 0.000
Dy 0.500 0.500 0.183
Dy 0.000 0.000 0.634
Dy 0.000 0.000 0.366
Dy 0.500 0.500 0.817
Al 0.500 0.500 0.500
```



entry ii takes first place; second place is 207 meV per atom up.